1.
PrVGa2 | PBE | relaxed

Cell: 4.3771 4.3771 15.8947 Å, 90.00 90.00 120.00°
Space group R-3m (No. 166, hexagonal axes)
Inequivalent atoms, fractional coordinates:
Pr1 0.0000 0.0000 0.0000 x3
V1 0.0000 0.0000 0.5000 x3
Ga1 0.0000 0.0000 0.2117 x6

2.
Li7Cu6O12 | PBE | relaxed

Raw formation energy: -1146.4 meV per atom

Cell: 5.275 7.078 8.095 Å, 105.81 103.18 101.50°
Space group P-1 (No. 2)
Inequivalent atoms, fractional coordinates:
Li1 0.000 0.000 0.000 x1
Li2 0.042 0.349 0.915 x2
Li3 0.049 0.940 0.661 x2
Li4 0.063 0.419 0.618 x2
Cu1 0.475 0.769 0.857 x2
Cu2 0.490 0.763 0.523 x2
Cu3 0.495 0.730 0.185 x2
O1 0.221 0.704 0.631 x2
O2 0.238 0.642 0.961 x2
O3 0.243 0.192 0.591 x2
O4 0.250 0.637 0.294 x2
O5 0.261 0.164 0.921 x2
O6 0.282 0.108 0.244 x2

3.
Ce2PaGe3Ir4 | PBE | relaxed

Cell: 4.239 4.239 11.071 Å, 90.00 90.00 90.00°
Space group P-4m2 (No. 115)
Inequivalent atoms, fractional coordinates:
Ce1 0.000 0.500 0.227 x2
Pa1 0.000 0.000 0.500 x1
Ge1 0.000 0.500 0.877 x2
Ge2 0.500 0.500 0.500 x1
Ir1 0.000 0.000 0.000 x1
Ir2 0.000 0.500 0.653 x2
Ir3 0.500 0.500 0.000 x1

4.
NaC2F2 | PBE | relaxed

ΔE to the lowest computed polymorph: 0.0 meV/atom
Raw formation energy: 475.3 meV per atom

Cell: 6.243 6.243 3.327 Å, 90.00 90.00 90.00°
Space group P4/mbm (No. 127)
Inequivalent atoms, fractional coordinates:
Na1 0.000 0.000 0.000 x2
C1 0.078 0.422 0.000 x4
F1 0.137 0.637 0.500 x4

5.
SmHoThSc | PBE | relaxed

ΔE to the lowest computed polymorph: 0.0 meV/atom

Cell: 3.5382 3.5382 33.5569 Å, 90.00 90.00 120.00°
Space group R3m (No. 160, hexagonal axes)
Inequivalent atoms, fractional coordinates:
Sm1 0.0000 0.0000 0.0000 x3
Ho1 0.0000 0.0000 0.7548 x3
Th1 0.0000 0.0000 0.1716 x3
Sc1 0.0000 0.0000 0.5840 x3

6.
MgZn2Ga6 | PBE | relaxed

ΔE to the lowest computed polymorph: 0.0 meV/atom

Cell: 11.330 12.071 5.352 Å, 90.00 113.19 90.00°
Space group C2/c (No. 15)
Inequivalent atoms, fractional coordinates:
Mg1 0.000 0.148 0.250 x4
Zn1 0.200 0.463 0.329 x8
Ga1 0.016 0.376 0.518 x8
Ga2 0.122 0.093 0.862 x8
Ga3 0.244 0.267 0.737 x8

7.
KTl2Au | PBE | relaxed

Cell: 4.767 4.767 5.155 Å, 90.00 90.00 90.00°
Space group P4/mmm (No. 123)
Inequivalent atoms, fractional coordinates:
K1 0.000 0.000 0.000 x1
Tl1 0.000 0.500 0.500 x2
Au1 0.500 0.500 0.000 x1

8.
KZn4Fe | PBE | relaxed

Cell: 7.539 7.539 7.539 Å, 90.00 90.00 90.00°
Space group F-43m (No. 216)
Inequivalent atoms, fractional coordinates:
K1 0.000 0.000 0.000 x4
Zn1 0.123 0.123 0.623 x16
Fe1 0.250 0.250 0.250 x4

9.
RbNpSe2O8 | PBE | relaxed

Raw formation energy: -1437.8 meV per atom

Cell: 6.2664 6.2664 7.7951 Å, 90.00 90.00 120.00°
Space group P-3m1 (No. 164)
Inequivalent atoms, fractional coordinates:
Rb1 0.0000 0.0000 0.0000 x1
Np1 0.0000 0.0000 0.5000 x1
Se1 0.3333 0.6667 0.3113 x2
O1 0.1504 0.3007 0.3445 x6
O2 0.3333 0.6667 0.1019 x2

10.
CaCeZn2Ga2 | PBE | relaxed

Cell: 4.4946 4.4946 7.4636 Å, 90.00 90.00 120.00°
Space group P-3m1 (No. 164)
Inequivalent atoms, fractional coordinates:
Ca1 0.0000 0.0000 0.0000 x1
Ce1 0.0000 0.0000 0.5000 x1
Zn1 0.3333 0.6667 0.2689 x2
Ga1 0.3333 0.6667 0.7202 x2

11.
NaTh5S6 | PBE | relaxed

Raw formation energy: -1772.7 meV per atom

Cell: 6.984 12.120 6.979 Å, 90.00 109.43 90.00°
Space group C2/m (No. 12)
Inequivalent atoms, fractional coordinates:
Na1 0.000 0.000 0.000 x2
Th1 0.000 0.168 0.500 x4
Th2 0.000 0.333 0.000 x4
Th3 0.000 0.500 0.500 x2
S1 0.244 0.163 0.244 x8
S2 0.245 0.000 0.753 x4

12.
BaSc2In | PBE | relaxed

Cell: 10.664 3.458 6.864 Å, 90.00 97.85 90.00°
Space group Cm (No. 8)
Inequivalent atoms, fractional coordinates:
Ba1 0.000 0.000 0.000 x2
Sc1 0.011 0.500 0.505 x2
Sc2 0.275 0.500 0.334 x2
In1 0.251 0.000 0.693 x2

Per-record energy, eV/cell: -62.6 -126.1 -78.3 -42.3 -68.7 -89.1 -9.3 -49.8 -77.8 -19.4 -168.9 -34.0